Below is Sc2HPb2 after structural relaxation, with properties calculated at the GGA-PBE level.

Cell and atoms, written as POSCAR:
```
Sc2HPb2
1.0
6.414 0.000 0.000
0.000 6.414 0.000
0.000 0.000 5.108
Sc H Pb
4 2 4
Direct
0.169 0.331 0.000
0.331 0.831 0.000
0.669 0.169 0.000
0.831 0.669 0.000
0.000 0.000 0.000
0.500 0.500 0.000
0.171 0.671 0.500
0.329 0.171 0.500
0.671 0.829 0.500
0.829 0.329 0.500
```

The density is 7.99 g/cm³. The total energy is -4.93 eV/atom. The total magnetization comes out at 0.0 μB per cell.

Below is LaCu3Pt after structural relaxation, with properties calculated at the GGA-PBE level.

Cell and atoms, written as POSCAR:
```
LaCu3Pt
1.0
4.742 0.000 0.000
0.000 4.742 0.000
0.000 0.000 4.742
La Cu Pt
1 3 1
Direct
0.000 0.000 0.000
0.000 0.500 0.500
0.500 0.000 0.500
0.500 0.500 0.000
0.500 0.500 0.500
```

The density is 8.17 g/cm³. The total energy is -4.61 eV/atom. The total magnetization comes out at 0.0 μB per cell. The value obtained for the formation enthalpy at 0 K is 0.04 eV per atom.

Below is HfTi4Sb2 after structural relaxation, with properties calculated at the GGA-PBE level.

Cell and atoms, written as POSCAR:
```
HfTi4Sb2
1.0
-1.949 1.949 9.419
1.949 -1.949 9.419
1.949 1.949 -9.419
Hf Ti Sb
1 4 2
Direct
0.000 0.000 0.000
0.139 0.139 0.000
0.250 0.750 0.500
0.750 0.250 0.500
0.861 0.861 0.000
0.389 0.389 0.000
0.611 0.611 0.000
```

The density is 7.12 g/cm³. The total energy is -7.05 eV/atom. The total magnetization comes out at 0.0 μB per cell. Its uncorrected formation energy is 58 meV per atom.

Below is Cd2CoSe after structural relaxation, with properties calculated at the GGA-PBE level.

Cell and atoms, written as POSCAR:
```
Cd2CoSe
1.0
2.889 -3.477 0.000
2.889 3.477 0.000
0.000 0.000 3.806
Cd Co Se
2 1 1
Direct
0.000 0.500 0.000
0.500 0.000 0.000
0.000 0.000 0.500
0.500 0.500 0.500
```

The density is 7.88 g/cm³. The total energy is -2.81 eV/atom. The total magnetization comes out at 1.4 μB per cell. Its uncorrected formation energy is 294 meV per atom.

- Which of these has the lowest density?
  HfTi4Sb2

- Look up the total magnetization of the second one.
  0.0 μB per cell

- Which value of total magnetization does entry 2 give?
  0.0 μB per cell

Repeat the first record exactly.
Below is Sc2HPb2 after structural relaxation, with properties calculated at the GGA-PBE level.

Cell and atoms, written as POSCAR:
```
Sc2HPb2
1.0
6.414 0.000 0.000
0.000 6.414 0.000
0.000 0.000 5.108
Sc H Pb
4 2 4
Direct
0.169 0.331 0.000
0.331 0.831 0.000
0.669 0.169 0.000
0.831 0.669 0.000
0.000 0.000 0.000
0.500 0.500 0.000
0.171 0.671 0.500
0.329 0.171 0.500
0.671 0.829 0.500
0.829 0.329 0.500
```

The density is 7.99 g/cm³. The total energy is -4.93 eV/atom. The total magnetization comes out at 0.0 μB per cell.